Record 1
## ScAgP3 (PBE-GGA)

Data for ScAgP3 after structural relaxation.

Formation energy from the elements ... 0.67 eV per atom
Energy relative to the lowest polymorph listed for this composition ... 57.7 kJ/mol of formula units
Space-group type ... Pm-3m

a b c (Å): 4.764 4.764 4.764
angles (deg): 90.00 90.00 90.00
Fractional coordinates of all 5 atoms:
P1 0.000 0.500 0.000
P2 0.000 0.000 0.500
P3 0.500 0.000 0.000
Sc1 0.500 0.500 0.500
Ag1 0.000 0.000 0.000

=====

Record 2
## ScAgP2 (PBE-GGA)

Data for ScAgP2 after structural relaxation.

Formation energy from the elements ... -0.46 eV per atom
Space-group type ... P4mm

a b c (Å): 3.720 3.720 5.353
angles (deg): 90.00 90.00 90.00
Fractional coordinates of all 4 atoms:
Ag1 0.500 0.500 0.848
Sc1 0.000 0.000 0.405
P1 0.000 0.000 0.897
P2 0.500 0.500 0.350

=====

Record 3
## ScAgP2Se6 (PBE-GGA)

Data for ScAgP2Se6 after structural relaxation.

Energy relative to the elements, uncorrected ... -0.53 eV/atom
Space-group type ... P-31c

a b c (Å): 6.527 6.527 14.783
angles (deg): 90.00 90.00 120.00
Fractional coordinates of all 20 atoms:
Se1 0.976 0.305 0.630
Se2 0.672 0.976 0.370
Se3 0.328 0.024 0.630
Se4 0.024 0.695 0.370
Se5 0.305 0.976 0.130
Se6 0.328 0.305 0.870
Se7 0.695 0.672 0.630
Se8 0.695 0.024 0.870
Se9 0.024 0.328 0.130
Se10 0.305 0.328 0.370
Se11 0.976 0.672 0.870
Se12 0.672 0.695 0.130
P1 0.667 0.333 0.826
P2 0.333 0.667 0.174
P3 0.667 0.333 0.674
P4 0.333 0.667 0.326
Ag1 0.667 0.333 0.250
Ag2 0.333 0.667 0.750
Sc1 0.000 0.000 0.750
Sc2 0.000 0.000 0.250

=====

Record 4
## Sc2AgSnP (PBE-GGA)

Data for Sc2AgSnP after structural relaxation.

Formation energy from the elements ... 0.45 eV per atom
Space-group type ... P4/mmm

a b c (Å): 5.365 4.945 5.365
angles (deg): 90.00 90.00 90.00
Fractional coordinates of all 5 atoms:
Sc1 0.500 0.000 0.000
Sc2 0.000 0.000 0.500
P1 0.500 0.500 0.500
Ag1 0.000 0.500 0.000
Sn1 0.000 0.000 0.000

=====

Record 5
## ScTi2AgP (PBE-GGA)

Data for ScTi2AgP after structural relaxation.

Formation energy from the elements ... -0.24 eV per atom
Space-group type ... P4/mmm

a b c (Å): 4.565 4.833 4.565
angles (deg): 90.00 90.00 90.00
Fractional coordinates of all 5 atoms:
P1 0.000 0.000 0.000
Ti1 0.000 0.000 0.500
Ti2 0.500 0.000 0.000
Ag1 0.500 0.500 0.500
Sc1 0.000 0.500 0.000

=====

Record 6
## AgP3Se (PBE-GGA)

Data for AgP3Se after structural relaxation.

Energy relative to the elements, uncorrected ... 1.19 eV/atom
Energy relative to the lowest polymorph listed for this composition ... 0.0 kJ/mol of formula units
Space-group type ... Pm-3m

a b c (Å): 4.790 4.790 4.790
angles (deg): 90.00 90.00 90.00
Fractional coordinates of all 5 atoms:
Se1 0.000 0.000 0.000
P1 0.000 0.500 0.000
P2 0.000 0.000 0.500
P3 0.500 0.000 0.000
Ag1 0.500 0.500 0.500

=====

Record 7
## Ag2PSe (PBE-GGA)

Data for Ag2PSe after structural relaxation.

Energy relative to the elements, uncorrected ... 0.32 eV/atom
Energy relative to the lowest polymorph listed for this composition ... 73.7 kJ/mol of formula units
Space-group type ... P4mm

a b c (Å): 2.805 2.805 9.819
angles (deg): 90.00 90.00 90.00
Fractional coordinates of all 4 atoms:
Ag1 0.500 0.500 0.247
Ag2 0.000 0.000 0.019
P1 0.000 0.000 0.450
Se1 0.500 0.500 0.784

=====

Record 8
## AgPSe3 (PBE-GGA)

Data for AgPSe3 after structural relaxation.

Energy relative to the elements, uncorrected ... 0.15 eV/atom
Space-group type ... P2_1/m

a b c (Å): 7.166 7.276 5.779
angles (deg): 90.00 90.00 121.18
Fractional coordinates of all 10 atoms:
Ag1 0.853 0.814 0.250
Ag2 0.147 0.186 0.750
Se1 0.260 0.738 0.999
Se2 0.740 0.262 0.001
Se3 0.777 0.796 0.750
Se4 0.223 0.204 0.250
Se5 0.740 0.262 0.499
Se6 0.260 0.738 0.501
P1 0.431 0.053 0.250
P2 0.569 0.947 0.750

=====

Record 9
## Ag5PSe6 (PBE-GGA)

Data for Ag5PSe6 after structural relaxation.

Energy relative to the elements, uncorrected ... 0.00 eV/atom
Space-group type ... C2/m

a b c (Å): 6.905 6.753 6.770
angles (deg): 79.30 68.71 59.25
Fractional coordinates of all 12 atoms:
Se1 0.627 0.310 0.253
Se2 0.373 0.690 0.747
Se3 0.750 0.000 0.798
Se4 0.937 0.690 0.253
Se5 0.063 0.310 0.747
Se6 0.250 0.000 0.202
Ag1 0.500 0.000 0.500
Ag2 0.157 0.685 0.500
Ag3 0.673 0.654 0.000
Ag4 0.327 0.346 0.000
Ag5 0.843 0.315 0.500
P1 0.000 0.000 0.000

=====

Record 10
## Ag2PSe (PBE-GGA)

Data for Ag2PSe after structural relaxation.

Energy relative to the elements, uncorrected ... 0.34 eV/atom
Energy relative to the lowest polymorph listed for this composition ... 80.5 kJ/mol of formula units
Space-group type ... P4/mmm

a b c (Å): 2.985 2.985 8.365
angles (deg): 90.00 90.00 90.00
Fractional coordinates of all 4 atoms:
Ag1 0.000 0.000 0.223
Ag2 0.000 0.000 0.777
Se1 0.500 0.500 0.500
P1 0.500 0.500 0.000

=====

Record 11
## Ag5PSe8 (PBE-GGA)

Data for Ag5PSe8 after structural relaxation.

Energy relative to the elements, uncorrected ... 0.14 eV/atom
Space-group type ... I-4

a b c (Å): 8.614 8.614 8.614
angles (deg): 96.12 96.12 141.88
Fractional coordinates of all 14 atoms:
Ag1 0.517 0.346 0.434
Ag2 0.500 0.500 0.000
Ag3 0.654 0.088 0.171
Ag4 0.918 0.483 0.829
Ag5 0.912 0.082 0.566
Se1 0.691 0.420 0.183
Se2 0.069 0.832 0.652
Se3 0.584 0.931 0.763
Se4 0.492 0.309 0.729
Se5 0.179 0.416 0.348
Se6 0.580 0.764 0.271
Se7 0.168 0.821 0.237
Se8 0.236 0.508 0.817
P1 0.250 0.750 0.500

=====

Record 12
## Ag4PSe6 (PBE-GGA)

Data for Ag4PSe6 after structural relaxation.

Energy relative to the elements, uncorrected ... 0.02 eV/atom
Space-group type ... Cc

a b c (Å): 7.051 7.080 12.971
angles (deg): 77.74 74.23 60.13
Fractional coordinates of all 22 atoms:
Ag1 0.310 0.722 0.305
Ag2 0.451 0.749 0.960
Ag3 0.946 0.656 0.640
Ag4 0.053 0.456 0.144
Ag5 0.347 0.956 0.644
Ag6 0.758 0.156 0.140
Ag7 0.841 0.249 0.460
Ag8 0.663 0.222 0.805
P1 0.689 0.795 0.398
P2 0.117 0.295 0.898
Se1 0.675 0.809 0.225
Se2 0.005 0.133 0.265
Se3 0.393 0.167 0.990
Se4 0.597 0.633 0.765
Se5 0.292 0.309 0.725
Se6 0.387 0.525 0.139
Se7 0.990 0.049 0.934
Se8 0.027 0.549 0.434
Se9 0.450 0.667 0.490
Se10 0.883 0.626 0.954
Se11 0.537 0.126 0.454
Se12 0.948 0.025 0.639